Entry 1:
Density functional theory data (PBE-GGA) for a relaxed structure of Al2PtCl.

Output
- relative energy among the computed polymorphs (meV/atom) = 578
- density of states at the Fermi level (states/eV/f.u.) = 1.5
- formation energy (no corrections) (eV per atom) = -0.210
- spin magnetization (μB per cell) = 0.00

The structure in CIF format:
```
data_Al2PtCl
_chemical_formula_sum 'Al4 Pt2 Cl2'
_space_group_name_H-M_alt 'I m m m'
_space_group_IT_number 71
_space_group_name_Hall '-I 2 2'
_cell_length_a 3.460
_cell_length_b 5.783
_cell_length_c 7.622
_cell_angle_alpha 90.00
_cell_angle_beta 90.00
_cell_angle_gamma 90.00
loop_
_atom_site_label
_atom_site_type_symbol
_atom_site_fract_x
_atom_site_fract_y
_atom_site_fract_z
Al1 Al 0.000 0.000 0.235
Pt1 Pt 0.000 0.500 0.500
Cl1 Cl 0.000 0.500 0.000
```

Entry 2:
Density functional theory data (PBE-GGA) for a relaxed structure of AlGaPt4.

Output
- formation energy from the elements (kJ/mol of formula units) = -383
- relative energy among the computed polymorphs (meV/atom) = 0
- density of states at the Fermi level (states/eV/f.u.) = 2.8
- spin magnetization (μB per cell) = 0.00

The structure in CIF format:
```
data_AlGaPt4
_chemical_formula_sum 'Al4 Ga4 Pt16'
_space_group_name_H-M_alt 'C m c m'
_space_group_IT_number 63
_space_group_name_Hall '-C 2c 2'
_cell_length_a 3.904
_cell_length_b 12.491
_cell_length_c 7.538
_cell_angle_alpha 90.00
_cell_angle_beta 90.00
_cell_angle_gamma 90.00
loop_
_atom_site_label
_atom_site_type_symbol
_atom_site_fract_x
_atom_site_fract_y
_atom_site_fract_z
Al1 Al 0.000 0.195 0.250
Ga1 Ga 0.000 0.489 0.250
Pt1 Pt 0.000 0.000 0.000
Pt2 Pt 0.000 0.157 0.750
Pt3 Pt 0.000 0.337 0.535
```

Entry 3:
Density functional theory data (PBE-GGA) for a relaxed structure of Li2SnGeS4.

Output
- formation energy (no corrections) (eV per atom) = -0.771
- spin magnetization (μB per cell) = 0.00

The structure in CIF format:
```
data_Li2SnGeS4
_chemical_formula_sum 'Li4 Sn2 Ge2 S8'
_space_group_name_H-M_alt 'P m n 21'
_space_group_IT_number 31
_cell_length_a 9.229
_cell_length_b 6.462
_cell_length_c 6.050
_cell_angle_alpha 90.00
_cell_angle_beta 90.00
_cell_angle_gamma 90.00
loop_
_space_group_symop_operation_xyz
'x,y,z'
'-x+1/2,-y,z+1/2'
'-x,y,z'
'x+1/2,-y,z+1/2'
loop_
_atom_site_label
_atom_site_type_symbol
_atom_site_fract_x
_atom_site_fract_y
_atom_site_fract_z
Li1 Li 0.248 0.189 0.000
Sn1 Sn 0.000 0.725 0.980
Ge1 Ge 0.000 0.332 0.517
S1 S 0.000 0.326 0.893
S2 S 0.000 0.670 0.422
S3 S 0.205 0.184 0.406
```

Entry 4:
Density functional theory data (PBE-GGA) for a relaxed structure of RbHfCu2Se4.

Output
- density of states at the Fermi level (states/eV/f.u.) = 5.6
- formation energy (no corrections) (eV per atom) = -0.683
- spin magnetization (μB per cell) = 0.00

The structure in CIF format:
```
data_RbHfCu2Se4
_chemical_formula_sum 'Rb2 Hf2 Cu4 Se8'
_space_group_name_H-M_alt 'I 2 2 2'
_space_group_IT_number 23
_cell_length_a 6.245
_cell_length_b 8.606
_cell_length_c 9.207
_cell_angle_alpha 90.00
_cell_angle_beta 90.00
_cell_angle_gamma 90.00
loop_
_space_group_symop_operation_xyz
'x,y,z'
'-x,-y,z'
'x,-y,-z'
'-x,y,-z'
'x+1/2,y+1/2,z+1/2'
'-x+1/2,-y+1/2,z+1/2'
'x+1/2,-y+1/2,-z+1/2'
'-x+1/2,y+1/2,-z+1/2'
loop_
_atom_site_label
_atom_site_type_symbol
_atom_site_fract_x
_atom_site_fract_y
_atom_site_fract_z
Rb1 Rb 0.000 0.000 0.000
Hf1 Hf 0.000 0.000 0.500
Cu1 Cu 0.000 0.500 0.131
Se1 Se 0.227 0.176 0.341
```